Compound: Ba2NbSe5
Source: the Alexandria database
Functional: PBE-GGA
Structure: optimized geometry

Structure (extended XYZ):
```
8
Lattice="-3.718 3.718 4.609 3.718 -3.718 4.609 3.718 3.718 -4.609" Properties=species:S:1:pos:R:3 pbc="T T T"
Ba 3.718 0.000 0.000
Ba 0.000 3.718 0.000
Nb 0.000 0.000 1.835
Se 1.943 1.943 -2.264
Se 1.775 -1.775 2.345
Se -1.775 1.775 2.345
Se 1.775 1.775 2.345
Se 0.000 0.000 8.698
```

space group = I4mm, No. 107
crystal system = tetragonal
E = -5.163 eV/atom

Compound: Nb3GaRh
Source: the Alexandria database
Functional: PBE-GGA
Structure: optimized geometry

Structure (extended XYZ):
```
5
Lattice="4.684 0.000 0.000 0.000 4.684 0.000 0.000 0.000 4.684" Properties=species:S:1:pos:R:3 pbc="T T T"
Nb 0.000 0.000 2.342
Nb 0.000 2.342 0.000
Nb 2.342 0.000 0.000
Ga 0.000 0.000 0.000
Rh 2.342 2.342 2.342
```

space group = Pm-3m, No. 221
crystal system = cubic
distance to the lowest polymorph of the same formula = 224 meV per atom

Compound: TiMnAu6
Source: the Alexandria database
Functional: PBE-GGA
Structure: optimized geometry

Structure (extended XYZ):
```
8
Lattice="4.521 -2.080 0.000 4.521 2.080 0.000 -3.828 0.000 7.382" Properties=species:S:1:pos:R:3 pbc="T T T"
Ti 0.000 0.000 0.000
Mn -1.914 0.000 3.691
Au -1.099 0.000 6.470
Au 0.836 0.000 2.763
Au 1.622 0.000 5.554
Au 3.591 0.000 1.828
Au 4.377 0.000 4.620
Au 6.313 0.000 0.912
```

space group = C2/m, No. 12
crystal system = monoclinic
E = -4.762 eV/atom

What is the formula in the third record? TiMnAu6